Record 1
YHgSeF2 | GGA-PBE | relaxed

Cell lengths 4.3678, 4.3678, 5.8257 Å; angles 90.00, 90.00, 90.00 degrees
Last column: nearest neighbours and their distance in Å.
Positions (direct):
Y (0.0000, 0.0000, 0.0000)  4 F 2.18
Hg (0.5000, 0.5000, 0.5000)  4 Se 3.09
Se (0.0000, 0.0000, 0.5000)  2 Y 2.91, 4 Hg 3.09
F (0.0000, 0.5000, 0.0000)  2 Y 2.18
F (0.5000, 0.0000, 0.0000)  2 Y 2.18

Summary:
- Formation energy from raw total energies: -12.1 eV per formula unit
- Total magnetization: 0.00 μB/f.u.
- Space-group type: P4/mmm
- N(E_F): 1.00 states/eV/cell
- VASP energy: -0.1920 Ha/atom

---

Record 2
Si3HgF | GGA-PBE | relaxed

Cell lengths 4.5175, 4.5175, 4.5175 Å; angles 90.00, 90.00, 90.00 degrees
Last column: nearest neighbours and their distance in Å.
Positions (direct):
Si (0.0000, 0.0000, 0.5000)  2 F 2.26
Si (0.0000, 0.5000, 0.0000)  2 F 2.26
Si (0.5000, 0.0000, 0.0000)  2 F 2.26
Hg (0.5000, 0.5000, 0.5000)  12 Si 3.19
F (0.0000, 0.0000, 0.0000)  6 Si 2.26

Summary:
- Formation energy from raw total energies: 2.3 eV per formula unit
- Total magnetization: 0.00 μB/f.u.
- Space-group type: Pm-3m
- N(E_F): 2.33 states/eV/cell
- VASP energy: -0.1186 Ha/atom

---

Record 3
SiHg3F6 | GGA-PBE | relaxed

Cell lengths 5.2988, 5.2988, 6.5494 Å; angles 90.00, 90.00, 120.00 degrees
Last column: nearest neighbours and their distance in Å.
Positions (direct):
Si (0.0000, 0.0000, 0.0000)  6 F 1.72
Hg (0.0000, 0.0000, 0.5000)  6 F 2.66
Hg (0.3333, 0.6667, 0.5000)  6 F 3.01, 6 Hg 3.06
Hg (0.6667, 0.3333, 0.5000)  6 F 3.01, 6 Hg 3.06
F (0.0000, 0.2633, 0.8456)  1 Si 1.72
F (0.0000, 0.7367, 0.1544)  1 Si 1.72
F (0.2633, 0.0000, 0.8456)  1 Si 1.72
F (0.2633, 0.2633, 0.1544)  1 Si 1.72
F (0.7367, 0.0000, 0.1544)  1 Si 1.72
F (0.7367, 0.7367, 0.8456)  1 Si 1.72

Summary:
- Formation energy from raw total energies: -19.5 eV per formula unit
- Total magnetization: 0.00 μB/f.u.
- Space-group type: P-31m
- N(E_F): 1.13 states/eV/cell
- VASP energy: -0.1362 Ha/atom

---

Record 4
Si3HgF | GGA-PBE | relaxed

Cell lengths 5.0930, 5.0930, 5.0930 Å; angles 90.00, 90.00, 90.00 degrees
Last column: nearest neighbours and their distance in Å.
Positions (direct):
Si (0.0000, 0.0000, 0.5000)  2 Hg 2.55
Si (0.0000, 0.5000, 0.0000)  2 Hg 2.55
Si (0.5000, 0.0000, 0.0000)  2 Hg 2.55
Hg (0.0000, 0.0000, 0.0000)  6 Si 2.55
F (0.5000, 0.5000, 0.5000)  12 Si 3.60

Summary:
- Formation energy from raw total energies: 5.6 eV per formula unit
- Total magnetization: 0.00 μB/f.u.
- Space-group type: Pm-3m
- N(E_F): 4.72 states/eV/cell
- VASP energy: -0.0945 Ha/atom

---

Record 5
SiHgF2 | GGA-PBE | relaxed

Cell lengths 6.1847, 6.1847, 10.4988 Å; angles 90.00, 90.00, 90.00 degrees
Last column: nearest neighbours and their distance in Å.
Positions (direct):
Si (0.0000, 0.0000, 0.0000)  4 F 2.03
Si (0.0000, 0.5000, 0.2500)  4 F 2.03
Si (0.5000, 0.0000, 0.7500)  4 F 2.03
Si (0.5000, 0.5000, 0.5000)  4 F 2.03
Hg (0.0000, 0.0000, 0.5000)  8 F 3.69-3.71, 4 Hg 4.06, 4 Si 4.06
Hg (0.0000, 0.5000, 0.7500)  8 F 3.69-3.71, 4 Hg 4.06, 4 Si 4.06
Hg (0.5000, 0.0000, 0.2500)  8 F 3.69-3.71, 4 Hg 4.06, 4 Si 4.06
Hg (0.5000, 0.5000, 0.0000)  8 F 3.69-3.71, 4 Hg 4.06, 4 Si 4.06
F (0.0016, 0.2500, 0.1250)  2 Si 2.03
F (0.2500, 0.5016, 0.3750)  2 Si 2.03
F (0.2500, 0.9984, 0.8750)  2 Si 2.03
F (0.4984, 0.2500, 0.6250)  2 Si 2.03
F (0.5016, 0.7500, 0.6250)  2 Si 2.03
F (0.7500, 0.0016, 0.8750)  2 Si 2.03
F (0.7500, 0.4984, 0.3750)  2 Si 2.03
F (0.9984, 0.7500, 0.1250)  2 Si 2.03

Summary:
- Formation energy from raw total energies: -4.8 eV per formula unit
- Total magnetization: 0.00 μB/f.u.
- Space-group type: I-42d
- N(E_F): 0.00 states/eV/cell
- VASP energy: -0.1314 Ha/atom

---

Record 6
SiHgF2 | GGA-PBE | relaxed

Cell lengths 6.2784, 6.2784, 6.2784 Å; angles 90.00, 90.00, 90.00 degrees
Last column: nearest neighbours and their distance in Å.
Positions (direct):
Si (0.0000, 0.0000, 0.0000)  8 F 2.72
Si (0.0000, 0.5000, 0.5000)  8 F 2.72
Si (0.5000, 0.0000, 0.5000)  8 F 2.72
Si (0.5000, 0.5000, 0.0000)  8 F 2.72
Hg (0.0000, 0.0000, 0.5000)  8 F 2.72
Hg (0.0000, 0.5000, 0.0000)  8 F 2.72
Hg (0.5000, 0.0000, 0.0000)  8 F 2.72
Hg (0.5000, 0.5000, 0.5000)  8 F 2.72
F (0.2500, 0.2500, 0.2500)  4 Hg 2.72, 4 Si 2.72
F (0.2500, 0.2500, 0.7500)  4 Hg 2.72, 4 Si 2.72
F (0.2500, 0.7500, 0.2500)  4 Hg 2.72, 4 Si 2.72
F (0.2500, 0.7500, 0.7500)  4 Hg 2.72, 4 Si 2.72
F (0.7500, 0.2500, 0.2500)  4 Hg 2.72, 4 Si 2.72
F (0.7500, 0.2500, 0.7500)  4 Hg 2.72, 4 Si 2.72
F (0.7500, 0.7500, 0.2500)  4 Hg 2.72, 4 Si 2.72
F (0.7500, 0.7500, 0.7500)  4 Hg 2.72, 4 Si 2.72

Summary:
- Formation energy from raw total energies: -2.7 eV per formula unit
- Total magnetization: 0.00 μB/f.u.
- Space-group type: Fm-3m
- N(E_F): 0.22 states/eV/cell
- VASP energy: -0.1116 Ha/atom